YMn2BiP after structural relaxation. Source: Alexandria via LeMat-Bulk, functional PBE-GGA.

```
data_YMn2BiP
_cell_length_a 4.5516
_cell_length_b 4.5516
_cell_length_c 5.3377
_cell_angle_alpha 90.00
_cell_angle_beta 90.00
_cell_angle_gamma 90.00
_symmetry_space_group_name_H-M 'P 4/m m m'
_symmetry_Int_Tables_number 123
_symmetry_space_group_name_Hall '-P 4 2'
loop_
_atom_site_label
_atom_site_fract_x
_atom_site_fract_y
_atom_site_fract_z
_atom_site_occupancy
Y1 0.0000 0.0000 0.0000 1
Mn1 0.0000 0.5000 0.5000 1
Bi1 0.5000 0.5000 0.0000 1
P1 0.0000 0.0000 0.5000 1
```

Calculated values
VASP energy ... -7.029 eV/atom
Volume ... 110.58 Å³ per cell
Formation enthalpy at 0 K ... -102 kJ/mol of formula units
Density ... 6.59 Mg/m³